Entry 1:
Ac2CeGeN5, relaxed, DFT PBE; space group = Cmc2_1 (36); E_form (uncorrected) = -760.6 meV per atom
1.0
1.789 -7.335 0.000
1.789 7.335 0.000
0.000 0.000 11.340
Ac Ce Ge N
4 2 2 10
direct
0.105 0.895 0.500
0.139 0.861 0.157
0.861 0.139 0.657
0.895 0.105 0.000
0.196 0.804 0.861
0.804 0.196 0.361
0.454 0.546 0.248
0.546 0.454 0.748
0.027 0.973 0.830
0.286 0.714 0.491
0.326 0.674 0.217
0.345 0.655 0.835
0.488 0.512 0.605
0.512 0.488 0.105
0.655 0.345 0.335
0.674 0.326 0.717
0.714 0.286 0.991
0.973 0.027 0.330


Entry 2:
AcCeNiGe, relaxed, DFT PBE; space group = P4/nmm (129); relative energy among the computed polymorphs = 0.000 eV per atom; formation energy = -0.3383 eV/atom
1.0
4.720 0.000 0.000
0.000 4.720 0.000
0.000 0.000 10.138
Ac Ce Ni Ge
2 2 2 2
direct
0.250 0.250 0.161
0.750 0.750 0.839
0.250 0.750 0.500
0.750 0.250 0.500
0.250 0.250 0.632
0.750 0.750 0.368
0.250 0.250 0.854
0.750 0.750 0.146


Entry 3:
Ac2CeNi4Ge3, relaxed, DFT PBE; space group = P-4m2 (115); formation energy = -0.5758 eV/atom
1.0
4.367 0.000 0.000
0.000 4.367 0.000
0.000 0.000 10.293
Ac Ce Ni Ge
2 1 4 3
direct
0.000 0.500 0.226
0.500 0.000 0.774
0.000 0.000 0.500
0.000 0.000 0.000
0.000 0.500 0.647
0.500 0.000 0.353
0.500 0.500 0.000
0.000 0.500 0.885
0.500 0.000 0.115
0.500 0.500 0.500


Values of VASP energy, in order: -7.47, -5.45, -5.69, all in eV/atom.
Values of spin magnetization, in order: 0.051, 0.164, 0.000, all in μB per atom.
Values of calculated volume, in order: 297.6, 225.9, 196.3, all in Å³ per cell.